## ZrBe3Mo (PBE)

Data for ZrBe3Mo after structural relaxation.

Output
calculated formation energy: 580 meV per atom
magnetic moment: 0.0 μB per formula unit
space-group type: Pm-3m, No. 221

Cell lengths 4.2132, 4.2132, 4.2132 Å; angles 90.00, 90.00, 90.00 degrees
Last column: nearest neighbours and their distance in Å.
Fractional positions:
Be 0.0000 0.5000 0.0000  2 Mo 2.11
Be 0.5000 0.0000 0.0000  2 Mo 2.11
Be 0.0000 0.0000 0.5000  2 Mo 2.11
Mo 0.0000 0.0000 0.0000  6 Be 2.11
Zr 0.5000 0.5000 0.5000  12 Be 2.98

---

## InTeCl (PBE)

Data for InTeCl after structural relaxation.

Output
formation energy from raw total energies: -1.21 eV per formula unit
magnetic moment: 0.0 μB per formula unit
space-group type: F-43m, No. 216

Cell lengths 4.9947, 4.9947, 4.9947 Å; angles 60.00, 60.00, 60.00 degrees
Last column: nearest neighbours and their distance in Å.
Fractional positions:
In 0.7500 0.7500 0.7500  4 Cl 3.06, 4 Te 3.06
Te 0.0000 0.0000 0.0000  4 In 3.06
Cl 0.5000 0.5000 0.5000  4 In 3.06

---

## CaLa3Ru (PBE)

Data for CaLa3Ru after structural relaxation.

Output
calculated formation energy: 431 meV per atom
magnetic moment: 0.7 μB per formula unit
space-group type: Amm2, No. 38

Cell lengths 3.8945, 10.4080, 10.4080 Å; angles 138.19, 90.00, 90.00 degrees
Last column: nearest neighbours and their distance in Å.
Fractional positions:
Ca 0.5000 0.1021 0.8979  2 Ca 3.89, 4 La 3.91-3.94
La 0.5000 0.6814 0.8385  2 Ru 2.76
La 0.0000 0.2763 0.7237  1 Ru 2.53
La 0.5000 0.1615 0.3186  2 Ru 2.76
Ru 0.0000 0.4066 0.5934  5 La 2.53-2.76

---

## CaTcP4 (PBE)

Data for CaTcP4 after structural relaxation.

Output
calculated formation energy: 417 meV per atom
magnetic moment: 1.6 μB per formula unit
space-group type: F-43m, No. 216

Cell lengths 5.1671, 5.1671, 5.1671 Å; angles 60.00, 60.00, 60.00 degrees
Last column: nearest neighbours and their distance in Å.
Fractional positions:
Ca 0.0000 0.0000 0.0000  12 P 3.04, 4 Tc 3.16
P 0.8628 0.3791 0.3791  6 P 2.50-2.67
P 0.3791 0.8628 0.3791  6 P 2.50-2.67
P 0.3791 0.3791 0.8628  6 P 2.50-2.67
P 0.3791 0.3791 0.3791  6 P 2.50-2.67
Tc 0.7500 0.7500 0.7500  12 P 3.02, 4 Ca 3.16

---

## YZn2Rh (PBE)

Data for YZn2Rh after structural relaxation.

Output
calculated formation energy: -481 meV per atom
magnetic moment: 0.0 μB per formula unit
space-group type: I4/mmm, No. 139

Cell lengths 5.0660, 5.0660, 5.0660 Å; angles 132.11, 132.11, 70.06 degrees
Last column: nearest neighbours and their distance in Å.
Fractional positions:
Rh 0.2500 0.7500 0.5000  4 Y 2.91, 8 Zn 2.92
Zn 0.5000 0.5000 0.0000  4 Zn 2.91, 4 Y 2.92, 4 Rh 2.92
Zn 0.0000 0.0000 0.0000  4 Zn 2.91, 4 Rh 2.92, 4 Y 2.92
Y 0.7500 0.2500 0.5000  4 Rh 2.91, 8 Zn 2.92

---

## TaTl2AgPt (PBE)

Data for TaTl2AgPt after structural relaxation.

Output
calculated formation energy: 1445 meV per atom
magnetic moment: 0.0 μB per formula unit
space-group type: P4/mmm, No. 123

Cell lengths 5.0718, 5.1825, 5.0718 Å; angles 90.00, 90.00, 90.00 degrees
Last column: nearest neighbours and their distance in Å.
Fractional positions:
Pt 0.5000 0.5000 0.5000  4 Ta 3.59, 8 Tl 3.63
Tl 0.0000 0.0000 0.5000  2 Ag 2.54
Tl 0.5000 0.0000 0.0000  2 Ag 2.54
Ta 0.0000 0.5000 0.0000  2 Ag 2.59
Ag 0.0000 0.0000 0.0000  4 Tl 2.54, 2 Ta 2.59

---

## NaTlHgSb (PBE)

Data for NaTlHgSb after structural relaxation.

Output
formation energy from raw total energies: -0.44 eV per formula unit
magnetic moment: 0.0 μB per formula unit
space-group type: F-43m, No. 216

Cell lengths 5.3979, 5.3979, 5.3979 Å; angles 60.00, 60.00, 60.00 degrees
Last column: nearest neighbours and their distance in Å.
Fractional positions:
Tl 0.2500 0.2500 0.2500  4 Na 3.31, 4 Sb 3.31
Sb 0.5000 0.5000 0.5000  4 Hg 3.31, 4 Tl 3.31
Na 0.0000 0.0000 0.0000  4 Tl 3.31, 4 Hg 3.31
Hg 0.7500 0.7500 0.7500  4 Sb 3.31, 4 Na 3.31

---

## LaDyIrPd (PBE)

Data for LaDyIrPd after structural relaxation.

Output
calculated formation energy: -773 meV per atom
magnetic moment: 0.0 μB per formula unit
space-group type: F-43m, No. 216

Cell lengths 5.0208, 5.0208, 5.0208 Å; angles 60.00, 60.00, 60.00 degrees
Last column: nearest neighbours and their distance in Å.
Fractional positions:
Ir 0.0000 0.0000 0.0000  4 La 3.07, 4 Dy 3.07
La 0.2500 0.2500 0.2500  4 Ir 3.07, 4 Pd 3.07
Dy 0.7500 0.7500 0.7500  4 Pd 3.07, 4 Ir 3.07
Pd 0.5000 0.5000 0.5000  4 Dy 3.07, 4 La 3.07

---

- Number 2 is which compound?
  InTeCl

---

Repeat the fourth record exactly.
## CaTcP4 (PBE)

Data for CaTcP4 after structural relaxation.

Output
calculated formation energy: 417 meV per atom
magnetic moment: 1.6 μB per formula unit
space-group type: F-43m, No. 216

Cell lengths 5.1671, 5.1671, 5.1671 Å; angles 60.00, 60.00, 60.00 degrees
Last column: nearest neighbours and their distance in Å.
Fractional positions:
Ca 0.0000 0.0000 0.0000  12 P 3.04, 4 Tc 3.16
P 0.8628 0.3791 0.3791  6 P 2.50-2.67
P 0.3791 0.8628 0.3791  6 P 2.50-2.67
P 0.3791 0.3791 0.8628  6 P 2.50-2.67
P 0.3791 0.3791 0.3791  6 P 2.50-2.67
Tc 0.7500 0.7500 0.7500  12 P 3.02, 4 Ca 3.16

---

- Which value of magnetic moment does entry 8 give?
  0.0 μB per formula unit